# SiP2OF

Crystalline SiP2OF at its relaxed geometry (GGA-PBE, the Alexandria database).

```
data_SiP2OF
_cell_length_a 3.974
_cell_length_b 3.974
_cell_length_c 4.561
_cell_angle_alpha 90.00
_cell_angle_beta 90.00
_cell_angle_gamma 90.00
_space_group_name_H-M_alt 'P 4/m m m'
_space_group_IT_number 123
_space_group_name_Hall '-P 4 2'
loop_
_atom_site_label
_atom_site_fract_x
_atom_site_fract_y
_atom_site_fract_z
Si1 0.000 0.000 0.000
P1 0.000 0.500 0.500
O1 0.500 0.500 0.000
F1 0.500 0.500 0.500
```

Calculated values
* crystal system: tetragonal
* M_tot: 0.00 μB/f.u.
* E: -0.13965 hartree per atom
* formation energy (no corrections): 0.81 eV per atom
* DOS at the Fermi energy: 3.6 states/eV/cell